! PBE with a Hubbard U CrAu3F, relaxed; values from VASP
! Excess energy over the best structure of this formula in the dataset   0.376 eV/atom
! DOS at the Fermi energy   0.775 states/eV per atom
! Total energy   -3.078 eV per atom
! Density   8.55 Mg/m³
&SYSTEM
  ibrav = 0, nat = 5, ntyp = 3
/
ATOMIC_SPECIES
Cr 52.00 Cr.upf
Au 196.97 Au.upf
F 19.00 F.upf
CELL_PARAMETERS angstrom
5.046 0.000 0.000
0.000 5.046 0.000
0.000 0.000 5.046
ATOMIC_POSITIONS crystal
Cr 0.000 0.000 0.000
Au 0.000 0.000 0.500
Au 0.000 0.500 0.000
Au 0.500 0.000 0.000
F 0.500 0.500 0.500